This record from Alexandria via LeMat-Bulk describes Er5Ni2Hg after structural relaxation. The functional is PBE-GGA.

```
Er5Ni2Hg
1.0
-3.805 3.805 6.529
3.805 -3.805 6.529
3.805 3.805 -6.529
Er Ni Hg
10 4 2
Cartesian
0.000 0.000 0.000
5.026 1.221 -1.767
1.221 2.585 -1.767
5.026 1.221 1.767
1.221 2.585 1.767
0.000 0.000 6.529
2.585 1.221 4.762
-1.221 2.585 4.762
2.585 1.221 8.297
-1.221 2.585 8.297
2.832 0.973 0.000
2.832 -0.973 6.529
0.973 4.778 0.000
0.973 2.832 6.529
0.000 0.000 3.265
0.000 0.000 9.794
```

## Properties
DFT formation energy: -0.382 eV/atom
SG: I4/mcm (140)
energy: -4.717 eV per atom

---

This record from Alexandria via LeMat-Bulk describes Pu3TlBi4 after structural relaxation. The functional is PBE-GGA.

```
Pu3TlBi4
1.0
3.385 0.000 0.000
0.000 5.886 0.000
0.000 0.000 12.131
Pu Tl Bi
3 1 4
Cartesian
0.000 0.000 0.000
0.000 2.943 3.141
0.000 2.943 8.991
0.000 0.000 6.066
1.693 0.000 2.912
1.693 0.000 9.220
1.693 2.943 0.000
1.693 2.943 6.066
```

## Properties
DFT formation energy: -0.227 eV/atom
SG: Pmmm (47)
energy: -7.837 eV per atom

---

This record from Alexandria via LeMat-Bulk describes KInHgI2 after structural relaxation. The functional is PBE-GGA.

```
KInHgI2
1.0
6.465 -2.423 0.000
6.465 2.423 0.000
-0.538 0.000 13.258
K In Hg I
2 2 2 4
Cartesian
1.504 0.000 4.876
10.888 0.000 8.382
4.366 0.000 2.323
8.026 0.000 10.935
1.098 0.000 13.005
11.293 0.000 0.252
1.545 0.000 8.381
4.906 0.000 10.893
7.486 0.000 2.365
10.846 0.000 4.876
```

## Properties
E above lowest polymorph: 0 meV/atom
SG: C2/m (12)
energy: -2.177 eV per atom
uncorrected formation energy: -730 meV per atom

---

This record from Alexandria via LeMat-Bulk describes TbSm3Tl4Se8 after structural relaxation. The functional is PBE-GGA.

```
TbSm3Tl4Se8
1.0
4.256 2.457 7.764
-4.256 2.457 7.764
0.000 -4.915 7.764
Tb Sm Tl Se
1 3 4 8
Cartesian
0.000 0.000 0.000
-2.128 -1.229 7.764
-2.128 1.229 15.528
0.000 2.457 7.764
-4.256 0.000 11.646
-2.128 1.229 3.882
2.128 1.229 3.882
0.000 0.000 11.646
0.000 -2.485 9.373
-2.152 1.243 9.373
-2.152 -1.243 13.920
0.000 0.000 6.141
0.000 0.000 17.151
2.152 1.243 9.373
2.152 -1.243 13.920
0.000 2.485 13.920
```

## Properties
SG: R-3m (166)
energy: -4.894 eV per atom
uncorrected formation energy: -1385 meV per atom

---

This record from Alexandria via LeMat-Bulk describes PmThTlIr after structural relaxation. The functional is PBE-GGA.

```
PmThTlIr
1.0
3.551 -2.051 0.000
3.551 2.051 0.000
-2.380 0.000 8.246
Pm Th Tl Ir
1 1 1 1
Cartesian
0.000 0.000 0.000
-0.012 0.000 5.081
4.729 0.000 2.516
2.355 0.000 6.578
```

## Properties
DFT formation energy: -0.538 eV/atom
SG: Cm (8)
energy: -6.387 eV per atom

---

This record from Alexandria via LeMat-Bulk describes Ga3CuAs after structural relaxation. The functional is PBE-GGA.

```
Ga3CuAs
1.0
4.674 0.000 0.000
0.000 4.674 0.000
0.000 0.000 4.674
Ga Cu As
3 1 1
Cartesian
0.000 0.000 2.337
0.000 2.337 0.000
2.337 0.000 0.000
0.000 0.000 0.000
2.337 2.337 2.337
```

## Properties
E above lowest polymorph: 0 meV/atom
DFT formation energy: 0.235 eV/atom
SG: Pm-3m (221)
energy: -3.331 eV per atom

---

This record from Alexandria via LeMat-Bulk describes Ba2Al3Au9 after structural relaxation. The functional is PBE-GGA.

```
Ba2Al3Au9
1.0
7.009 -4.006 0.000
7.009 4.006 0.000
-4.741 0.000 10.735
Ba Al Au
4 6 18
Cartesian
1.177 0.640 2.669
-1.194 -0.640 8.037
10.471 0.640 2.699
8.101 -0.640 8.066
3.505 2.003 0.000
3.450 2.034 5.444
3.456 2.034 10.659
1.134 -2.003 5.368
5.821 -2.034 0.076
5.827 -2.034 5.291
5.825 3.284 0.588
5.823 3.284 4.779
1.181 0.634 5.931
4.362 1.484 2.791
1.127 0.653 10.145
3.552 -0.634 0.564
3.453 1.087 8.051
7.285 1.484 2.576
3.498 -0.653 4.777
5.779 0.653 5.958
1.992 -1.484 8.159
5.824 -1.087 2.684
5.725 0.634 10.171
8.150 -0.653 0.590
4.915 -1.484 7.944
8.096 -0.634 4.804
3.454 -3.284 5.956
3.452 -3.284 10.147
```

## Properties
DFT formation energy: -0.477 eV/atom
SG: C2/c (15)
energy: -3.660 eV per atom

---

This record from Alexandria via LeMat-Bulk describes Re2Ru4Rh after structural relaxation. The functional is PBE-GGA.

```
Re2Ru4Rh
1.0
1.374 0.793 15.288
-1.374 0.793 15.288
0.000 -1.586 15.288
Re Ru Rh
2 4 1
Cartesian
0.000 0.000 0.000
0.000 0.000 4.430
0.000 0.000 8.749
0.000 0.000 13.142
0.000 0.000 32.848
0.000 0.000 37.184
0.000 0.000 41.518
```

## Properties
DFT formation energy: -0.018 eV/atom
SG: R3m (160)
energy: -9.926 eV per atom

---

This record from Alexandria via LeMat-Bulk describes TlPb2Se after structural relaxation. The functional is PBE-GGA.

```
TlPb2Se
1.0
3.651 -3.924 0.000
3.651 3.924 0.000
0.000 0.000 4.036
Tl Pb Se
1 2 1
Cartesian
0.000 0.000 0.000
1.825 1.962 2.018
1.825 -1.962 2.018
3.651 0.000 0.000
```

## Properties
E above lowest polymorph: 47 meV/atom
SG: Cmmm (65)
energy: -3.422 eV per atom
uncorrected formation energy: -106 meV per atom

---

This record from Alexandria via LeMat-Bulk describes GaCu2Pd after structural relaxation. The functional is PBE-GGA.

```
GaCu2Pd
1.0
-2.165 2.165 2.890
2.165 -2.165 2.890
2.165 2.165 -2.890
Ga Cu Pd
1 2 1
Cartesian
0.000 0.000 0.000
2.165 0.000 1.445
0.000 0.000 2.890
0.000 2.165 1.445
```

## Properties
DFT formation energy: -0.259 eV/atom
SG: I-4m2 (119)
energy: -4.362 eV per atom

---

This record from Alexandria via LeMat-Bulk describes TbCeZnAu after structural relaxation. The functional is PBE-GGA.

```
TbCeZnAu
1.0
0.000 3.644 3.644
3.644 0.000 3.644
3.644 3.644 0.000
Tb Ce Zn Au
1 1 1 1
Cartesian
0.000 0.000 0.000
3.644 3.644 3.644
1.822 1.822 1.822
5.465 5.465 5.465
```

## Properties
E above lowest polymorph: 28 meV/atom
DFT formation energy: -0.458 eV/atom
SG: F-43m (216)
energy: -4.237 eV per atom

---

This record from Alexandria via LeMat-Bulk describes YThOs after structural relaxation. The functional is PBE-GGA.

```
YThOs
1.0
7.935 4.581 2.273
-7.935 4.581 2.273
0.000 -9.162 2.273
Y Th Os
6 6 6
Cartesian
-1.477 -1.886 1.978
-0.895 2.222 1.978
2.372 -0.336 1.978
-2.372 0.336 4.840
0.895 -2.222 4.840
1.477 1.886 4.840
-3.900 -5.099 3.016
-6.366 0.828 3.802
2.466 -5.927 3.802
-2.466 5.927 3.016
6.366 -0.828 3.016
3.900 5.099 3.802
-3.972 -1.645 3.601
-0.562 -4.263 3.217
-3.411 2.618 3.217
3.411 -2.618 3.601
0.562 4.263 3.601
3.972 1.645 3.217
```

## Properties
E above lowest polymorph: 73 meV/atom
DFT formation energy: -0.133 eV/atom
SG: R-3 (148)
energy: -8.504 eV per atom